Entry 1:
First-principles (PBE) data for Zr3BiTe after structural relaxation, as listed in Alexandria.

Geometry as POSCAR:
```
Zr3BiTe
1.0
-4.199 -2.438 -2.127
2.633 -4.601 0.076
-1.881 -0.996 4.855
Zr Bi Te
3 1 1
direct
0.500 0.000 0.000
0.000 0.000 0.500
0.000 0.500 0.000
0.500 0.500 0.500
0.000 0.000 0.000
```

## Properties
Spin magnetization in μB per atom: 0.00
ΔE to the lowest computed polymorph in eV per formula unit: 5.15
E_form (uncorrected) in eV per atom: 0.479

---

Entry 2:
First-principles (PBE) data for ZrBiTe2 after structural relaxation, as listed in Alexandria.

Geometry as POSCAR:
```
ZrBiTe2
1.0
-5.510 -0.077 6.057
-0.980 -8.069 -0.995
-0.569 -4.697 4.958
Te Bi Zr
4 2 2
direct
0.875 0.847 0.750
0.597 0.125 0.250
0.153 0.625 0.250
0.375 0.403 0.750
0.750 0.250 0.500
0.000 0.000 0.000
0.250 0.750 0.500
0.500 0.500 0.000
```

## Properties
Spin magnetization in μB per atom: 0.00
E_form (uncorrected) in eV per atom: -0.110

---

Entry 3:
First-principles (PBE) data for Zr2Bi2Te after structural relaxation, as listed in Alexandria.

Geometry as POSCAR:
```
Zr2Bi2Te
1.0
-7.524 2.035 -2.118
-2.836 -6.550 3.780
-0.380 2.117 3.383
Bi Zr Te
4 4 2
direct
0.857 0.357 0.500
0.357 0.143 0.500
0.643 0.857 0.500
0.143 0.643 0.500
0.348 0.848 0.000
0.652 0.152 0.000
0.152 0.348 0.000
0.848 0.652 0.000
0.500 0.500 0.000
0.000 0.000 0.000
```

## Properties
Spin magnetization in μB per atom: 0.00
ΔE to the lowest computed polymorph in eV per formula unit: 0.00
E_form (uncorrected) in eV per atom: -0.400

---

Entry 4:
First-principles (PBE) data for ZrBiTe2 after structural relaxation, as listed in Alexandria.

Geometry as POSCAR:
```
ZrBiTe2
1.0
-4.756 -2.142 8.879
-4.455 -5.643 7.372
-1.522 -4.136 9.307
Zr Te Bi
1 2 1
direct
0.500 0.500 0.500
0.104 0.104 0.104
0.896 0.896 0.896
0.000 0.000 0.000
```

## Properties
Spin magnetization in μB per atom: 0.00
E_form (uncorrected) in eV per atom: -0.524

---

Entry 5:
First-principles (PBE) data for Zr2BiTe after structural relaxation, as listed in Alexandria.

Geometry as POSCAR:
```
Zr2BiTe
1.0
2.218 -1.009 4.492
-2.443 -2.842 3.475
1.633 -4.730 1.038
Te Zr Bi
1 2 1
direct
0.000 0.000 0.000
0.250 0.250 0.250
0.750 0.750 0.750
0.500 0.500 0.500
```

## Properties
Spin magnetization in μB per atom: 0.00
ΔE to the lowest computed polymorph in eV per formula unit: 0.39
E_form (uncorrected) in eV per atom: -0.485

---

Entry 6:
First-principles (PBE) data for Zr6BiTe after structural relaxation, as listed in Alexandria.

Geometry as POSCAR:
```
Zr6BiTe
1.0
8.032 0.035 0.105
4.030 6.955 -0.013
3.961 2.354 3.287
Zr Te Bi
6 1 1
direct
0.749 0.999 0.754
0.499 0.251 0.251
0.000 0.502 0.247
0.501 0.749 0.749
0.251 0.001 0.246
0.000 0.498 0.753
0.500 0.500 0.500
0.000 0.000 0.000
```

## Properties
Spin magnetization in μB per atom: 0.00
E_form (uncorrected) in eV per atom: -0.277

---

Entry 7:
First-principles (PBE) data for Zr2BiTe after structural relaxation, as listed in Alexandria.

Geometry as POSCAR:
```
Zr2BiTe
1.0
6.604 0.000 0.000
0.000 6.604 0.000
3.302 3.302 6.590
Bi Zr Te
2 4 2
direct
0.000 0.000 0.000
0.750 0.250 0.500
0.375 0.383 0.750
0.875 0.867 0.750
0.617 0.125 0.250
0.133 0.625 0.250
0.250 0.750 0.500
0.500 0.500 0.000
```

## Properties
Spin magnetization in μB per atom: 0.00
ΔE to the lowest computed polymorph in eV per formula unit: 3.08
E_form (uncorrected) in eV per atom: 0.186

---

Entry 8:
First-principles (PBE) data for Zr3Bi2Te2 after structural relaxation, as listed in Alexandria.

Geometry as POSCAR:
```
Zr3Bi2Te2
1.0
3.841 0.000 0.000
0.000 7.555 -0.166
-1.920 -2.073 6.595
Bi Zr Te
2 3 2
direct
0.150 0.391 0.301
0.850 0.609 0.699
0.000 0.000 0.000
0.256 0.830 0.511
0.744 0.170 0.489
0.590 0.793 0.180
0.410 0.207 0.820
```

## Properties
Spin magnetization in μB per atom: 0.00
E_form (uncorrected) in eV per atom: -0.534

---

Entry 9:
First-principles (PBE) data for ZrBi3Te after structural relaxation, as listed in Alexandria.

Geometry as POSCAR:
```
ZrBi3Te
1.0
-0.402 -5.052 2.536
1.468 -2.548 -4.844
5.458 0.314 1.489
Bi Te Zr
3 1 1
direct
0.000 0.500 0.000
0.500 0.000 0.000
0.000 0.000 0.500
0.500 0.500 0.500
0.000 0.000 0.000
```

## Properties
Spin magnetization in μB per atom: 0.00
ΔE to the lowest computed polymorph in eV per formula unit: 0.00
E_form (uncorrected) in eV per atom: 0.332

---

Entry 10:
First-principles (PBE) data for Zr6Bi3Te after structural relaxation, as listed in Alexandria.

Geometry as POSCAR:
```
Zr6Bi3Te
1.0
7.356 0.000 0.000
0.000 8.754 -0.364
0.000 -2.308 8.452
Bi Zr Te
6 12 2
direct
0.829 0.590 0.410
0.024 0.104 0.290
0.524 0.290 0.104
0.329 0.410 0.590
0.024 0.710 0.896
0.524 0.896 0.710
0.103 0.752 0.248
0.673 0.273 0.409
0.732 0.931 0.420
0.742 0.966 0.034
0.732 0.580 0.069
0.232 0.420 0.931
0.242 0.034 0.966
0.173 0.409 0.273
0.673 0.591 0.727
0.232 0.069 0.580
0.603 0.248 0.752
0.173 0.727 0.591
0.454 0.837 0.163
0.954 0.163 0.837
```

## Properties
Spin magnetization in μB per atom: 0.00
E_form (uncorrected) in eV per atom: -0.214

---

Entry 11:
First-principles (PBE) data for Zr2BiTe after structural relaxation, as listed in Alexandria.

Geometry as POSCAR:
```
Zr2BiTe
1.0
3.597 0.000 0.000
0.000 3.597 0.000
0.000 0.000 7.308
Bi Zr Te
1 2 1
direct
0.500 0.500 0.500
0.000 0.000 0.757
0.000 0.000 0.243
0.500 0.500 0.000
```

## Properties
Spin magnetization in μB per atom: 0.00
ΔE to the lowest computed polymorph in eV per formula unit: 0.36
E_form (uncorrected) in eV per atom: -0.493

---

Entry 12:
First-principles (PBE) data for ZrBiTe3 after structural relaxation, as listed in Alexandria.

Geometry as POSCAR:
```
ZrBiTe3
1.0
-3.850 -1.119 -1.272
-0.474 -5.210 6.018
-1.941 7.847 5.923
Te Bi Zr
6 2 2
direct
0.937 0.809 0.874
0.180 0.612 0.361
0.675 0.018 0.350
0.063 0.191 0.126
0.325 0.982 0.650
0.820 0.388 0.639
0.470 0.319 0.940
0.530 0.681 0.060
0.781 0.738 0.562
0.219 0.262 0.438
```

## Properties
Spin magnetization in μB per atom: 0.00
ΔE to the lowest computed polymorph in eV per formula unit: 0.00
E_form (uncorrected) in eV per atom: -0.483